(1)
VASP calculation (PBEsol) on a geometry-optimized Tl2HgCl structure.

Results
ρ = 10.34 g cm⁻³
formation energy from raw total energies = -151 kJ/mol of formula units

```
Tl2HgCl
1.0
3.574 0.000 0.000
0.000 5.383 0.000
0.000 0.000 5.381
Tl Hg Cl
2 1 1
direct
0.000 0.500 0.500 Tl
0.000 0.000 0.000 Tl
0.500 0.000 0.500 Hg
0.500 0.500 0.000 Cl
```

(2)
VASP calculation (PBEsol) on a geometry-optimized Li2PbAu2 structure.

Results
energy relative to the elements = -232.0 meV per atom
ρ = 10.56 g cm⁻³

```
Li2PbAu2
1.0
-2.120 -0.181 -3.335
-0.890 -3.776 0.771
-3.524 3.797 4.380
Li Au Pb
2 2 1
direct
0.750 0.250 0.500 Li
0.250 0.750 0.500 Li
0.388 0.388 0.775 Au
0.612 0.612 0.225 Au
0.000 0.000 0.000 Pb
```

(3)
VASP calculation (PBEsol) on a geometry-optimized YSc2Zn structure.

Results
energy relative to the elements = -176.4 meV per atom
ρ = 4.48 g cm⁻³

```
YSc2Zn
1.0
-0.087 2.495 2.365
3.271 -2.523 2.782
2.395 2.478 -5.026
Sc Zn Y
2 1 1
direct
0.715 0.715 0.431 Sc
0.285 0.285 0.569 Sc
0.000 0.500 0.000 Zn
0.500 0.000 0.000 Y
```

(4)
VASP calculation (PBEsol) on a geometry-optimized Al2InSe structure.

Results
ρ = 5.11 g cm⁻³
formation energy from raw total energies = 23 kJ/mol of formula units

```
Al2InSe
1.0
-1.199 1.497 2.923
2.202 -3.387 2.638
3.596 3.214 -0.171
Al In Se
2 1 1
direct
0.000 0.000 0.500 Al
0.000 0.500 0.000 Al
0.500 0.000 0.000 In
0.500 0.500 0.500 Se
```

(5)
VASP calculation (PBEsol) on a geometry-optimized YAlZn structure.

Results
energy relative to the elements = -474.2 meV per atom
ρ = 5.02 g cm⁻³

```
YAlZn
1.0
4.421 0.000 0.000
-2.210 3.828 0.000
0.000 0.000 7.094
Zn Y Al
2 2 2
direct
0.333 0.667 0.750 Zn
0.667 0.333 0.250 Zn
0.000 0.000 0.000 Y
0.000 0.000 0.500 Y
0.667 0.333 0.750 Al
0.333 0.667 0.250 Al
```

(6)
VASP calculation (PBEsol) on a geometry-optimized ZnOsRu2 structure.

Results
energy relative to the elements = 268.7 meV per atom
ρ = 14.04 g cm⁻³

```
ZnOsRu2
1.0
2.682 0.000 0.000
0.000 4.644 -0.041
0.000 -1.598 4.361
Ru Os Zn
2 1 1
direct
0.000 0.000 0.500 Ru
0.000 0.500 0.000 Ru
0.500 0.500 0.500 Os
0.500 0.000 0.000 Zn
```

(7)
VASP calculation (PBEsol) on a geometry-optimized Sc2ZnNi structure.

Results
energy relative to the elements = -415.4 meV per atom
ρ = 5.37 g cm⁻³

```
Sc2ZnNi
1.0
3.238 0.000 0.025
0.000 4.520 0.000
-0.035 0.000 4.519
Ni Sc Zn
1 2 1
direct
0.375 0.500 0.872 Ni
0.875 0.500 0.375 Sc
0.875 0.000 0.876 Sc
0.375 0.000 0.377 Zn
```

(8)
VASP calculation (PBEsol) on a geometry-optimized LaSc2Ru structure.

Results
energy relative to the elements = 115.1 meV per atom
ρ = 6.66 g cm⁻³

```
LaSc2Ru
1.0
3.499 0.000 0.000
0.000 4.937 0.056
0.000 -1.359 4.746
La Sc Ru
1 2 1
direct
0.500 0.000 0.000 La
0.000 0.500 0.000 Sc
0.000 0.000 0.500 Sc
0.500 0.500 0.500 Ru
```

(9)
VASP calculation (PBEsol) on a geometry-optimized MnO2 structure.

Results
ρ = 4.90 g cm⁻³
formation energy from raw total energies = -470 kJ/mol of formula units

```
MnO2
1.0
-0.640 0.549 2.713
2.099 -3.930 1.289
7.722 4.427 0.925
O Mn
8 4
direct
0.750 0.391 0.260 O
0.250 0.217 0.020 O
0.250 0.609 0.740 O
0.250 0.891 0.240 O
0.750 0.109 0.760 O
0.250 0.283 0.520 O
0.750 0.783 0.980 O
0.750 0.717 0.480 O
0.250 0.560 0.365 Mn
0.750 0.440 0.635 Mn
0.250 0.940 0.865 Mn
0.750 0.060 0.135 Mn
```

(10)
VASP calculation (PBEsol) on a geometry-optimized KY structure.

Results
energy relative to the elements = 551.6 meV per atom
ρ = 2.05 g cm⁻³

```
KY
1.0
4.457 0.000 0.000
0.000 4.457 0.000
0.000 0.000 10.429
Y K
2 2
direct
0.500 0.500 0.000 Y
0.000 0.000 0.000 Y
0.000 0.500 0.674 K
0.500 0.000 0.326 K
```

(11)
VASP calculation (PBEsol) on a geometry-optimized LiMn2Br structure.

Results
ρ = 5.12 g cm⁻³
formation energy from raw total energies = 225 kJ/mol of formula units

```
LiMn2Br
1.0
3.814 0.000 0.000
-1.907 4.716 -0.792
0.000 2.080 3.198
Li Mn Br
1 2 1
direct
0.750 0.500 0.750 Li
0.000 0.000 0.000 Mn
0.250 0.500 0.250 Mn
0.500 0.000 0.500 Br
```

(12)
VASP calculation (PBEsol) on a geometry-optimized YSc2In2 structure.

Results
energy relative to the elements = -393.2 meV per atom
ρ = 5.64 g cm⁻³

```
YSc2In2
1.0
3.528 0.000 0.000
0.000 8.256 0.000
0.000 0.000 8.256
In Sc Y
4 4 2
direct
0.000 0.628 0.128 In
0.000 0.872 0.628 In
0.000 0.128 0.372 In
0.000 0.372 0.872 In
0.500 0.672 0.828 Sc
0.500 0.828 0.328 Sc
0.500 0.328 0.172 Sc
0.500 0.172 0.672 Sc
0.000 0.000 0.000 Y
0.000 0.500 0.500 Y
```

Among the records above, which one has the highest ρ? ZnOsRu2

What is the ρ in the ninth record? 4.90 g cm⁻³